# Ba2ZnIn

Ba2ZnIn after structural relaxation (PBE, the Alexandria database).

Calculated values
space group	I-4m2
energy of formation from the pure elements	-0.47	eV/f.u.
density	5.36	g cm⁻³
energy	-2.083	eV/atom

Lattice parameters (Å, degrees): 6.4141 6.4141 6.4141 132.43 132.43 69.56
With the nearest neighbours (Å) after each atom.
Fractional coordinates of all 4 atoms:
Ba: 0.0000 0.0000 0.0000  4 In 3.66, 4 Ba 3.69, 4 Zn 3.69
Ba: 0.2500 0.7500 0.5000  4 Zn 3.66, 4 Ba 3.69, 4 In 3.69
In: 0.5000 0.5000 0.0000  8 Ba 3.66-3.69, 4 Zn 3.69
Zn: 0.7500 0.2500 0.5000  8 Ba 3.66-3.69, 4 In 3.69